# PBE with a Hubbard U MgMnF3, relaxed
data_MgMnF3
_chemical_formula_sum 'Mg1 Mn1 F3'
_space_group_name_H-M_alt 'P m -3 m'
_space_group_IT_number 221
_space_group_name_Hall '-P 4 2 3'
_cell_length_a 4.229
_cell_length_b 4.229
_cell_length_c 4.229
_cell_angle_alpha 90.00
_cell_angle_beta 90.00
_cell_angle_gamma 90.00
loop_
_atom_site_label
_atom_site_fract_x
_atom_site_fract_y
_atom_site_fract_z
_atom_site_occupancy
Mg1 0.000 0.000 0.000 1
Mn1 0.500 0.500 0.500 1
F1 0.000 0.500 0.500 1
# raw total energy	-5.095	eV per atom
# total moment	5.0	μB/f.u.